Here is Ce4YTm after structural relaxation from the Alexandria database. Energies are from GGA-PBE.

```
Ce4YTm
1.0
-3.3927 -1.6196 5.0717
-4.8499 -3.9980 -0.5918
0.4238 -5.8458 2.3459
Ce Tm Y
4 1 1
Direct
0.6274 0.6274 0.6274 Ce
0.6274 0.6274 0.1177 Ce
0.6274 0.1177 0.6274 Ce
0.1177 0.6274 0.6274 Ce
0.0000 0.0000 0.0000 Tm
0.2500 0.2500 0.2500 Y
```

Results
**Theoretical density**: 7.64 g/cm3
**ΔH_f (0 K)**: 0.21 eV/atom
**Crystal system**: cubic



Here is CeY7Tm3 after structural relaxation from the Alexandria database. Energies are from GGA-PBE.

```
CeY7Tm3
1.0
-6.4527 5.4326 5.1284
1.6771 -9.4578 -2.2778
1.5561 -5.1088 11.9796
Y Ce Tm
14 2 6
Direct
0.4456 0.1234 0.4667 Y
0.4996 0.4996 0.2500 Y
0.1234 0.4456 0.4667 Y
0.1236 0.4459 0.9663 Y
0.5541 0.8764 0.0337 Y
0.4459 0.1236 0.9663 Y
0.5544 0.8766 0.5333 Y
0.0892 0.9111 0.7502 Y
0.9111 0.0892 0.7502 Y
0.9108 0.0889 0.2498 Y
0.5004 0.5004 0.7500 Y
0.0889 0.9108 0.2498 Y
0.8764 0.5541 0.0337 Y
0.8766 0.5544 0.5333 Y
0.5000 0.5000 0.5000 Ce
0.5000 0.5000 0.0000 Ce
0.0003 0.5005 0.7497 Tm
0.5005 0.0003 0.7497 Tm
0.9997 0.4995 0.2503 Tm
0.0000 0.0000 0.0000 Tm
0.4995 0.9997 0.2503 Tm
0.0000 0.0000 0.5000 Tm
```

Results
**Theoretical density**: 5.94 g/cm3
**ΔH_f (0 K)**: 0.16 eV/atom
**Crystal system**: monoclinic



Here is CeY4Tm6 after structural relaxation from the Alexandria database. Energies are from GGA-PBE.

```
CeY4Tm6
1.0
-6.4814 -2.3055 3.2232
3.9295 -2.9387 5.7996
0.8348 8.3075 -1.3317
Tm Y Ce
6 4 1
Direct
0.4381 0.9213 0.3594 Tm
0.0000 0.5000 0.0000 Tm
0.5619 0.5619 0.6406 Tm
0.0787 0.0787 0.6406 Tm
0.5000 0.0000 0.0000 Tm
0.9213 0.4381 0.3594 Tm
0.0919 0.7519 0.8437 Y
0.2481 0.2481 0.1563 Y
0.7519 0.0919 0.8437 Y
0.9081 0.9081 0.1563 Y
0.5000 0.5000 0.0000 Ce
```

Results
**Theoretical density**: 6.65 g/cm3
**ΔH_f (0 K)**: 0.52 eV/atom
**Crystal system**: tetragonal
**Relative energy among the computed polymorphs**: 380 meV per atom



Here is CeY6Tm4 after structural relaxation from the Alexandria database. Energies are from GGA-PBE.

```
CeY6Tm4
1.0
5.6282 0.0000 0.0000
-2.8141 4.8519 0.0000
0.0000 0.0000 25.7016
Y Tm Ce
12 8 2
Direct
0.8369 0.6739 0.6805 Y
0.1700 0.3400 0.8990 Y
0.8300 0.6600 0.3990 Y
0.5000 0.0000 0.0000 Y
0.5030 0.0060 0.7500 Y
0.1700 0.3400 0.6010 Y
0.8300 0.6600 0.1010 Y
0.1631 0.3261 0.1805 Y
0.4970 0.9940 0.2500 Y
0.5000 0.0000 0.5000 Y
0.8369 0.6739 0.8195 Y
0.1631 0.3261 0.3195 Y
0.4957 0.9914 0.1216 Tm
0.1655 0.3310 0.4587 Tm
0.8345 0.6690 0.5413 Tm
0.8345 0.6690 0.9587 Tm
0.1655 0.3310 0.0413 Tm
0.5043 0.0086 0.8784 Tm
0.5043 0.0086 0.6216 Tm
0.4957 0.9914 0.3784 Tm
0.8305 0.6609 0.2500 Ce
0.1695 0.3391 0.7500 Ce
```

Results
**Theoretical density**: 6.38 g/cm3
**ΔH_f (0 K)**: 0.14 eV/atom
**Crystal system**: orthorhombic



Here is CeY8Tm5 after structural relaxation from the Alexandria database. Energies are from GGA-PBE.

```
CeY8Tm5
1.0
-4.0984 5.7537 -4.5005
0.3336 -6.9851 -4.6101
-3.9520 -1.4373 7.2437
Y Tm Ce
8 5 1
Direct
0.1812 0.5904 0.7540 Y
0.2268 0.3307 0.2500 Y
0.4096 0.1636 0.5908 Y
0.0807 0.9768 0.7500 Y
0.0232 0.7732 0.1039 Y
0.6693 0.9193 0.8961 Y
0.5728 0.8188 0.4092 Y
0.8364 0.4272 0.2460 Y
0.7126 0.5341 0.6047 Tm
0.8921 0.2874 0.8215 Tm
0.5000 0.5000 0.0000 Tm
0.4659 0.0706 0.1785 Tm
0.9294 0.1079 0.3953 Tm
0.2500 0.7500 0.5000 Ce
```

Results
**Theoretical density**: 6.23 g/cm3
**ΔH_f (0 K)**: 0.25 eV/atom
**Crystal system**: tetragonal



Here is CeY5Tm6 after structural relaxation from the Alexandria database. Energies are from GGA-PBE.

```
CeY5Tm6
1.0
9.1968 1.1021 -1.2037
-3.9108 8.3964 -1.2037
-0.5967 -1.0722 4.8491
Y Tm Ce
5 6 1
Direct
0.5000 0.5000 0.5000 Y
0.8332 0.1668 0.5000 Y
0.6665 0.3336 0.0000 Y
0.3335 0.6664 0.0000 Y
0.1668 0.8332 0.5000 Y
0.2470 0.2471 0.7472 Tm
0.9165 0.5858 0.7511 Tm
0.0835 0.4142 0.2489 Tm
0.4142 0.0835 0.2489 Tm
0.7530 0.7529 0.2528 Tm
0.5858 0.9165 0.7511 Tm
0.0000 0.0000 0.0000 Ce
```

Results
**Theoretical density**: 7.11 g/cm3
**ΔH_f (0 K)**: 0.04 eV/atom
**Crystal system**: orthorhombic



Here is Ce2YTm after structural relaxation from the Alexandria database. Energies are from GGA-PBE.

```
Ce2YTm
1.0
3.4828 0.0000 0.0000
1.7414 3.0162 0.0000
1.7414 1.0054 11.4965
Ce Y Tm
2 1 1
Direct
0.0847 0.0847 0.7460 Ce
0.2483 0.2483 0.2551 Ce
0.6681 0.6681 0.9957 Y
0.4989 0.4989 0.5033 Tm
```

Results
**Theoretical density**: 7.40 g/cm3
**ΔH_f (0 K)**: 0.09 eV/atom
**Crystal system**: trigonal
**Relative energy among the computed polymorphs**: 0 meV per atom



Here is Ce2YTm after structural relaxation from the Alexandria database. Energies are from GGA-PBE.

```
Ce2YTm
1.0
5.6239 0.0000 0.0000
2.8119 4.8704 0.0000
2.8119 1.6235 4.5919
Ce Y Tm
2 1 1
Direct
0.2500 0.2500 0.2500 Ce
0.7500 0.7500 0.7500 Ce
0.5000 0.5000 0.5000 Y
0.0000 0.0000 0.0000 Tm
```

Results
**Theoretical density**: 7.10 g/cm3
**ΔH_f (0 K)**: 0.22 eV/atom
**Crystal system**: cubic
**Relative energy among the computed polymorphs**: 124 meV per atom



Here is CeY3Tm3 after structural relaxation from the Alexandria database. Energies are from GGA-PBE.

```
CeY3Tm3
1.0
-1.0432 5.6855 2.0528
-3.9350 0.9209 4.6146
8.8852 0.7884 11.4961
Tm Y Ce
6 6 2
Direct
0.1988 0.8661 0.4013 Tm
0.8012 0.1339 0.5987 Tm
0.8661 0.5338 0.4013 Tm
0.1339 0.4662 0.5987 Tm
0.5338 0.1988 0.4013 Tm
0.4662 0.8012 0.5987 Tm
0.0674 0.7338 0.7983 Y
0.2662 0.5995 0.2017 Y
0.4005 0.0674 0.7983 Y
0.5995 0.9326 0.2017 Y
0.9326 0.2662 0.2017 Y
0.7338 0.4005 0.7983 Y
0.6667 0.6667 0.0000 Ce
0.3333 0.3333 0.0000 Ce
```

Results
**Theoretical density**: 6.60 g/cm3
**ΔH_f (0 K)**: 0.18 eV/atom
**Crystal system**: trigonal



Here is CeY4Tm7 after structural relaxation from the Alexandria database. Energies are from GGA-PBE.

```
CeY4Tm7
1.0
5.6932 1.3894 0.7593
3.8848 7.6281 2.8940
-1.2652 0.0031 9.8548
Y Tm Ce
4 7 1
Direct
0.3397 0.4064 0.7259 Y
0.1219 0.1321 0.2740 Y
0.8781 0.8679 0.7260 Y
0.6603 0.5936 0.2741 Y
0.4695 0.2862 0.4274 Tm
0.5305 0.7138 0.5726 Tm
0.5000 0.0000 0.0000 Tm
0.0643 0.1867 0.6269 Tm
0.9357 0.8133 0.3731 Tm
0.7112 0.5395 0.9208 Tm
0.2888 0.4605 0.0792 Tm
0.0000 0.0000 0.0000 Ce
```

Results
**Theoretical density**: 7.39 g/cm3
**ΔH_f (0 K)**: 0.15 eV/atom
**Crystal system**: monoclinic
**Relative energy among the computed polymorphs**: 0 meV per atom



Here is CeY6Tm2 after structural relaxation from the Alexandria database. Energies are from GGA-PBE.

```
CeY6Tm2
1.0
5.2990 -0.5408 -3.1727
-1.8301 5.0022 -3.1727
3.2675 4.2025 17.0594
Tm Y Ce
4 12 2
Direct
0.4239 0.4315 0.3141 Tm
0.5685 0.5761 0.1859 Tm
0.5761 0.5685 0.6859 Tm
0.4315 0.4239 0.8141 Tm
0.6250 0.0173 0.8823 Y
0.7533 0.7002 0.0229 Y
0.7002 0.7533 0.5229 Y
0.9641 0.3231 0.1199 Y
0.0359 0.6769 0.8801 Y
0.3231 0.9641 0.6199 Y
0.9827 0.3750 0.6177 Y
0.3750 0.9827 0.1177 Y
0.2998 0.2467 0.4771 Y
0.2467 0.2998 0.9771 Y
0.6769 0.0359 0.3801 Y
0.0173 0.6250 0.3823 Y
0.0220 0.9780 0.2500 Ce
0.9780 0.0220 0.7500 Ce
```

Results
**Theoretical density**: 5.71 g/cm3
**ΔH_f (0 K)**: 0.17 eV/atom
**Crystal system**: monoclinic
**Relative energy among the computed polymorphs**: 45 meV per atom



Here is CeY4Tm5 after structural relaxation from the Alexandria database. Energies are from GGA-PBE.

```
CeY4Tm5
1.0
5.8037 0.0000 0.0000
2.9018 7.4054 0.0000
2.9018 0.0000 7.4054
Y Tm Ce
4 5 1
Direct
0.7803 0.6768 0.6767 Y
0.1338 0.3232 0.3233 Y
0.4570 0.3233 0.6768 Y
0.4571 0.6767 0.3232 Y
0.7676 0.0000 0.3726 Tm
0.1402 0.6274 0.0000 Tm
0.7676 0.3726 0.0000 Tm
0.1402 0.0000 0.6274 Tm
0.6690 0.0000 0.0000 Tm
0.1975 0.0000 0.0000 Ce
```

Results
**Theoretical density**: 6.99 g/cm3
**ΔH_f (0 K)**: 0.26 eV/atom
**Crystal system**: tetragonal
**Relative energy among the computed polymorphs**: 0 meV per atom



Here is CeY6Tm2 after structural relaxation from the Alexandria database. Energies are from GGA-PBE.

```
CeY6Tm2
1.0
-0.1682 -5.7664 1.7090
6.2554 1.1214 7.8308
-5.3126 1.6321 8.4156
Y Tm Ce
12 4 2
Direct
0.2011 0.9903 0.2159 Y
0.8816 0.6617 0.8865 Y
0.3816 0.8865 0.6617 Y
0.4556 0.6758 0.4516 Y
0.7989 0.0097 0.7841 Y
0.5444 0.3242 0.5484 Y
0.6184 0.1135 0.3383 Y
0.1184 0.3383 0.1135 Y
0.7011 0.2159 0.9903 Y
0.2989 0.7841 0.0097 Y
0.0444 0.5484 0.3242 Y
0.9556 0.4516 0.6758 Y
0.0818 0.1837 0.4763 Tm
0.4182 0.5237 0.8163 Tm
0.5818 0.4763 0.1837 Tm
0.9182 0.8163 0.5237 Tm
0.7500 0.8448 0.1552 Ce
0.2500 0.1552 0.8448 Ce
```

Results
**Theoretical density**: 5.88 g/cm3
**ΔH_f (0 K)**: 0.13 eV/atom
**Crystal system**: monoclinic
**Relative energy among the computed polymorphs**: 0 meV per atom



Here is CeY2Tm4 after structural relaxation from the Alexandria database. Energies are from GGA-PBE.

```
CeY2Tm4
1.0
5.5606 0.0000 0.0000
0.0000 3.5906 0.0000
0.0000 -1.7953 11.2485
Tm Y Ce
4 2 1
Direct
0.0000 0.8276 0.6551 Tm
0.5000 0.6927 0.3855 Tm
0.5000 0.3073 0.6145 Tm
0.0000 0.1724 0.3449 Tm
0.5000 0.9299 0.8597 Y
0.5000 0.0701 0.1403 Y
0.0000 0.5000 0.0000 Ce
```

Results
**Theoretical density**: 7.35 g/cm3
**ΔH_f (0 K)**: 0.22 eV/atom
**Crystal system**: orthorhombic
**Relative energy among the computed polymorphs**: 187 meV per atom



Here is Ce2YTm after structural relaxation from the Alexandria database. Energies are from GGA-PBE.

```
Ce2YTm
1.0
-1.7084 -1.5459 -4.4766
4.4446 -1.7829 -1.0805
-1.2535 -4.3185 1.9697
Y Ce Tm
1 2 1
Direct
0.5000 0.0000 0.0000 Y
0.0000 0.5000 0.0000 Ce
0.0000 0.0000 0.5000 Ce
0.5000 0.5000 0.5000 Tm
```

Results
**Theoretical density**: 7.36 g/cm3
**ΔH_f (0 K)**: 0.11 eV/atom
**Crystal system**: tetragonal
**Relative energy among the computed polymorphs**: 18 meV per atom



Here is Ce2YTm after structural relaxation from the Alexandria database. Energies are from GGA-PBE.

```
Ce2YTm
1.0
8.5729 2.3182 0.5835
3.1021 5.5386 1.2817
1.5150 1.5033 6.2003
Ce Y Tm
4 2 2
Direct
0.2862 0.1637 0.0339 Ce
0.7862 0.1975 0.9661 Ce
0.2138 0.8025 0.0339 Ce
0.7138 0.8363 0.9661 Ce
0.5000 0.0000 0.5000 Y
0.0000 0.5000 0.5000 Y
0.7500 0.2870 0.4262 Tm
0.2500 0.7130 0.5738 Tm
```

Results
**Theoretical density**: 7.58 g/cm3
**ΔH_f (0 K)**: 0.17 eV/atom
**Crystal system**: monoclinic
**Relative energy among the computed polymorphs**: 77 meV per atom



Here is CeY7Tm2 after structural relaxation from the Alexandria database. Energies are from GGA-PBE.

```
CeY7Tm2
1.0
-2.0721 1.5864 -4.9995
5.5925 -5.9013 -4.1904
-2.4289 -8.6457 -1.7367
Y Ce Tm
7 1 2
Direct
0.5000 0.7065 0.0612 Y
0.5000 0.5000 0.5000 Y
0.0000 0.2192 0.2191 Y
0.5000 0.2935 0.9388 Y
0.5000 0.0611 0.7065 Y
0.5000 0.9389 0.2935 Y
0.0000 0.7808 0.7809 Y
0.0000 0.0000 0.0000 Ce
0.5000 0.2966 0.2966 Tm
0.5000 0.7034 0.7034 Tm
```

Results
**Theoretical density**: 4.58 g/cm3
**ΔH_f (0 K)**: 0.73 eV/atom
**Crystal system**: orthorhombic



Here is CeYTm14 after structural relaxation from the Alexandria database. Energies are from GGA-PBE.

```
CeYTm14
1.0
6.8368 -0.1040 0.0000
-2.0070 6.5364 0.0000
0.0000 0.0000 10.9410
Tm Ce Y
14 1 1
Direct
0.5561 0.4439 0.0000 Tm
0.1077 0.8923 0.0000 Tm
0.3475 0.6525 0.7681 Tm
0.4129 0.1650 0.2484 Tm
0.0395 0.3701 0.0000 Tm
0.9025 0.0975 0.7340 Tm
0.8350 0.5871 0.7516 Tm
0.3475 0.6525 0.2319 Tm
0.6248 0.7873 0.5000 Tm
0.6299 0.9605 0.0000 Tm
0.9025 0.0975 0.2660 Tm
0.4129 0.1650 0.7516 Tm
0.2127 0.3752 0.5000 Tm
0.8350 0.5871 0.2484 Tm
0.1370 0.8630 0.5000 Ce
0.6964 0.3036 0.5000 Y
```

Results
**Theoretical density**: 8.85 g/cm3
**ΔH_f (0 K)**: 0.07 eV/atom
**Crystal system**: orthorhombic



Here is Ce2YTm after structural relaxation from the Alexandria database. Energies are from GGA-PBE.

```
Ce2YTm
1.0
-1.8906 -0.4777 -2.8662
2.6453 -1.6979 -1.4619
-3.5020 -8.6923 3.7588
Ce Y Tm
2 1 1
Direct
0.0000 0.0000 0.7537 Ce
0.0000 0.0000 0.2463 Ce
0.5000 0.5000 0.5000 Y
0.5000 0.5000 0.0000 Tm
```

Results
**Theoretical density**: 7.36 g/cm3
**ΔH_f (0 K)**: 0.11 eV/atom
**Crystal system**: tetragonal
**Relative energy among the computed polymorphs**: 18 meV per atom



Here is CeYTm3 after structural relaxation from the Alexandria database. Energies are from GGA-PBE.

```
CeYTm3
1.0
6.1477 0.0000 0.0000
0.0000 9.8544 0.6826
0.0000 -4.2549 9.7068
Tm Ce Y
12 4 4
Direct
0.0856 0.3230 0.2270 Tm
0.8959 0.2974 0.5979 Tm
0.5929 0.8409 0.4168 Tm
0.6041 0.7974 0.0979 Tm
0.5856 0.1770 0.2730 Tm
0.1041 0.7026 0.4021 Tm
0.9071 0.3409 0.9168 Tm
0.0929 0.6591 0.0832 Tm
0.3959 0.2026 0.9021 Tm
0.4071 0.1591 0.5832 Tm
0.4144 0.8230 0.7270 Tm
0.9144 0.6770 0.7730 Tm
0.7944 0.0127 0.9667 Ce
0.2944 0.4873 0.5333 Ce
0.7056 0.5127 0.4667 Ce
0.2056 0.9873 0.0333 Ce
0.5585 0.4923 0.1709 Y
0.0585 0.0077 0.3291 Y
0.4415 0.5077 0.8291 Y
0.9415 0.9923 0.6709 Y
```

Results
**Theoretical density**: 8.07 g/cm3
**ΔH_f (0 K)**: 0.13 eV/atom
**Crystal system**: monoclinic
**Relative energy among the computed polymorphs**: 0 meV per atom



Here is CeYTm3 after structural relaxation from the Alexandria database. Energies are from GGA-PBE.

```
CeYTm3
1.0
-5.2179 0.7930 1.1459
-3.6812 -5.0994 -0.5061
-3.2847 -1.6535 11.6855
Ce Tm Y
2 6 2
Direct
0.8662 0.2676 0.0000 Ce
0.1338 0.7324 0.0000 Ce
0.9016 0.6739 0.7618 Tm
0.4246 0.6739 0.2382 Tm
0.0984 0.3261 0.2382 Tm
0.5754 0.3261 0.7618 Tm
0.7469 0.0000 0.2527 Tm
0.2531 0.0000 0.7473 Tm
0.6550 0.6901 0.5000 Y
0.3450 0.3099 0.5000 Y
```

Results
**Theoretical density**: 7.22 g/cm3
**ΔH_f (0 K)**: 0.43 eV/atom
**Crystal system**: monoclinic
**Relative energy among the computed polymorphs**: 296 meV per atom